Entry from Alexandria via LeMat-Bulk: an optimized crystal structure of LiRe3I (PBE-GGA).

Cell lengths 4.315, 4.315, 4.315 Å; angles 90.00, 90.00, 90.00 degrees
Sites, in units of the cell vectors:
1 I 0.500 0.500 0.500
2 Re 0.000 0.500 0.000
3 Re 0.000 0.000 0.500
4 Re 0.500 0.000 0.000
5 Li 0.000 0.000 0.000

## Properties
Uncorrected formation energy = 2.0832 eV/atom
Space-group type = Pm-3m (221)
N(E_F) = 6.71 states/eV/cell
Energy = -30.39 eV/cell
Size of the total moment = 0.00 μB per formula unit
Excess energy over the best structure of this formula in the dataset = 0.000 eV per atom


Entry from Alexandria via LeMat-Bulk: an optimized crystal structure of Li2ReI (PBE-GGA).

Cell lengths 4.578, 4.578, 4.578 Å; angles 60.00, 60.00, 60.00 degrees
Each line ends with the local moment (μB).
Sites, in units of the cell vectors:
1 I 0.000 0.000 0.000  0.03
2 Re 0.500 0.500 0.500  1.45
3 Li 0.250 0.250 0.250  0.00
4 Li 0.750 0.750 0.750  0.00

## Properties
Uncorrected formation energy = 0.9647 eV/atom
Space-group type = Fm-3m (225)
N(E_F) = 3.67 states/eV/cell
Energy = -13.97 eV/cell
Size of the total moment = 1.76 μB per formula unit
Excess energy over the best structure of this formula in the dataset = 0.105 eV per atom


Entry from Alexandria via LeMat-Bulk: an optimized crystal structure of Li2ReI (PBE-GGA).

Cell lengths 7.607, 7.607, 6.043 Å; angles 50.99, 50.99, 90.00 degrees
Each line ends with the local moment (μB).
Sites, in units of the cell vectors:
1 I 0.500 0.500 0.000  0.06
2 I 0.250 0.750 0.500  0.06
3 Re 0.000 0.000 0.000  2.08
4 Re 0.750 0.250 0.500  2.07
5 Li 0.617 0.125 0.250  -0.02
6 Li 0.133 0.625 0.250  -0.02
7 Li 0.375 0.383 0.750  -0.02
8 Li 0.875 0.867 0.750  -0.02

## Properties
Uncorrected formation energy = 0.8599 eV/atom
Space-group type = I-42d (122)
N(E_F) = 5.13 states/eV/cell
Energy = -28.77 eV/cell
Size of the total moment = 2.35 μB per formula unit
Excess energy over the best structure of this formula in the dataset = 0.000 eV per atom


Entry from Alexandria via LeMat-Bulk: an optimized crystal structure of LiRe3I (PBE-GGA).

Cell lengths 4.850, 4.850, 4.850 Å; angles 90.00, 90.00, 90.00 degrees
Each line ends with the local moment (μB).
Sites, in units of the cell vectors:
1 I 0.000 0.000 0.000  -0.03
2 Re 0.000 0.500 0.000  0.58
3 Re 0.000 0.000 0.500  0.61
4 Re 0.500 0.000 0.000  0.52
5 Li 0.500 0.500 0.500  -0.01

## Properties
Uncorrected formation energy = 2.6922 eV/atom
Space-group type = Pm-3m (221)
N(E_F) = 6.99 states/eV/cell
Energy = -27.35 eV/cell
Size of the total moment = 1.87 μB per formula unit
Excess energy over the best structure of this formula in the dataset = 0.609 eV per atom


Entry from Alexandria via LeMat-Bulk: an optimized crystal structure of LiRe2I (PBE-GGA).

Cell lengths 4.425, 4.425, 4.425 Å; angles 60.00, 60.00, 60.00 degrees
Sites, in units of the cell vectors:
1 I 0.500 0.500 0.500
2 Re 0.250 0.250 0.250
3 Re 0.750 0.750 0.750
4 Li 0.000 0.000 0.000

## Properties
Uncorrected formation energy = 1.2036 eV/atom
Space-group type = Fm-3m (225)
N(E_F) = 3.91 states/eV/cell
Energy = -23.55 eV/cell
Size of the total moment = 0.00 μB per formula unit
Excess energy over the best structure of this formula in the dataset = 0.347 eV per atom


Entry from Alexandria via LeMat-Bulk: an optimized crystal structure of LiRe2I (PBE-GGA).

Cell lengths 3.697, 3.697, 11.535 Å; angles 80.78, 80.78, 90.00 degrees
Sites, in units of the cell vectors:
1 I 0.000 0.000 0.000
2 I 0.750 0.250 0.500
3 Re 0.587 0.125 0.250
4 Re 0.163 0.625 0.250
5 Re 0.375 0.413 0.750
6 Re 0.875 0.837 0.750
7 Li 0.500 0.500 0.000
8 Li 0.250 0.750 0.500

## Properties
Uncorrected formation energy = 0.8563 eV/atom
Space-group type = I-42d (122)
N(E_F) = 7.18 states/eV/cell
Energy = -49.87 eV/cell
Size of the total moment = 0.00 μB per formula unit
Excess energy over the best structure of this formula in the dataset = 0.000 eV per atom


Entry from Alexandria via LeMat-Bulk: an optimized crystal structure of LiReSbI2 (PBE-GGA).

Cell lengths 4.968, 4.968, 4.979 Å; angles 90.00, 90.00, 90.00 degrees
Sites, in units of the cell vectors:
1 I 0.000 0.500 0.000
2 I 0.500 0.000 0.000
3 Re 0.500 0.500 0.500
4 Li 0.000 0.000 0.000
5 Sb 0.000 0.000 0.500

## Properties
Uncorrected formation energy = 1.4033 eV/atom
Space-group type = P4/mmm (123)
N(E_F) = 6.98 states/eV/cell
Energy = -14.57 eV/cell
Size of the total moment = 0.00 μB per formula unit
Excess energy over the best structure of this formula in the dataset = 0.946 eV per atom


Entry from Alexandria via LeMat-Bulk: an optimized crystal structure of LiReSbI2 (PBE-GGA).

Cell lengths 5.826, 5.826, 5.088 Å; angles 90.00, 90.00, 90.00 degrees
Each line ends with the local moment (μB).
Sites, in units of the cell vectors:
1 I 0.000 0.500 0.000  0.03
2 I 0.500 0.000 0.000  0.03
3 Re 0.000 0.000 0.000  1.62
4 Li 0.500 0.500 0.500  0.00
5 Sb 0.000 0.000 0.500  -0.07

## Properties
Uncorrected formation energy = 0.4574 eV/atom
Space-group type = P4/mmm (123)
N(E_F) = 2.89 states/eV/cell
Energy = -19.30 eV/cell
Size of the total moment = 1.93 μB per formula unit
Excess energy over the best structure of this formula in the dataset = 0.000 eV per atom